Entry from Alexandria: a relaxed LiScHg6 crystal (PBE).

- Density of states at the Fermi level: 3.826 states/eV/cell
- Formation enthalpy at 0 K: -0.189 eV per atom
- Total moment: 0.000 μB per cell

Cell: 4.441 4.441 9.028 Å, 90.00 90.00 90.00°
Atoms (fractional coordinates):
Li (0.000, 0.000, 0.000)
Sc (0.000, 0.000, 0.500)
Hg (0.000, 0.500, 0.247)
Hg (0.000, 0.500, 0.753)
Hg (0.500, 0.000, 0.247)
Hg (0.500, 0.000, 0.753)
Hg (0.500, 0.500, 0.000)
Hg (0.500, 0.500, 0.500)


Entry from Alexandria: a relaxed GaPtF2 crystal (PBE).

- ΔE to the lowest computed polymorph: 534 meV/atom
- Formation energy without anion corrections: -498 meV/atom
- Density of states at the Fermi level: 28.960 states/eV/cell
- Total moment: 2.035 μB per cell

Cell: 5.996 5.996 5.996 Å, 90.00 90.00 90.00°
Atoms (fractional coordinates):
Ga (0.000, 0.000, 0.000)
Ga (0.000, 0.500, 0.500)
Ga (0.500, 0.000, 0.500)
Ga (0.500, 0.500, 0.000)
Pt (0.000, 0.000, 0.500)
Pt (0.000, 0.500, 0.000)
Pt (0.500, 0.000, 0.000)
Pt (0.500, 0.500, 0.500)
F (0.250, 0.250, 0.250)
F (0.250, 0.250, 0.750)
F (0.250, 0.750, 0.250)
F (0.250, 0.750, 0.750)
F (0.750, 0.250, 0.250)
F (0.750, 0.250, 0.750)
F (0.750, 0.750, 0.250)
F (0.750, 0.750, 0.750)


Entry from Alexandria: a relaxed BPIrC2 crystal (PBE).

- ΔE to the lowest computed polymorph: 0 meV/atom
- Density of states at the Fermi level: 4.601 states/eV/cell
- Formation enthalpy at 0 K: 0.344 eV per atom
- Total moment: 0.000 μB per cell

Cell: 8.660 2.829 4.365 Å, 90.00 107.01 90.00°
Atoms (fractional coordinates):
B (0.000, 0.000, 0.000)
B (0.500, 0.500, 0.000)
P (0.169, 0.500, 0.709)
P (0.669, 0.000, 0.709)
Ir (0.412, 0.000, 0.328)
Ir (0.912, 0.500, 0.328)
C (0.180, 0.000, 0.975)
C (0.370, 0.500, 0.654)
C (0.680, 0.500, 0.975)
C (0.870, 0.000, 0.654)


Entry from Alexandria: a relaxed Cd2HRh6N crystal (PBE).

- Density of states at the Fermi level: 9.042 states/eV/cell
- Raw total energy: -5.80 eV/atom
- Total moment: 0.000 μB per cell

Cell: 5.743 5.743 5.743 Å, 119.94 119.94 90.11°
Atoms (fractional coordinates):
Cd (0.250, 0.750, 0.500)
Cd (0.750, 0.250, 0.500)
H (0.000, 0.000, 0.000)
Rh (0.247, 0.247, 0.000)
Rh (0.248, 0.248, 0.495)
Rh (0.248, 0.752, 0.000)
Rh (0.752, 0.248, 0.000)
Rh (0.752, 0.752, 0.505)
Rh (0.753, 0.753, 0.000)
N (0.500, 0.500, 0.000)


Entry from Alexandria: a relaxed SrTmGa3 crystal (PBE).

- Density of states at the Fermi level: 7.802 states/eV/cell
- Formation enthalpy at 0 K: -0.499 eV per atom
- Total moment: 0.000 μB per cell

Cell: 13.198 13.198 4.225 Å, 90.00 90.00 160.45°
Atoms (fractional coordinates):
Sr (0.076, 0.924, 0.750)
Sr (0.924, 0.076, 0.250)
Tm (0.205, 0.795, 0.250)
Tm (0.795, 0.205, 0.750)
Ga (0.319, 0.681, 0.250)
Ga (0.376, 0.624, 0.750)
Ga (0.474, 0.526, 0.750)
Ga (0.526, 0.474, 0.250)
Ga (0.624, 0.376, 0.250)
Ga (0.681, 0.319, 0.750)


Entry from Alexandria: a relaxed ScZn2HPt crystal (PBE).

- Density of states at the Fermi level: 2.637 states/eV/cell
- Raw total energy: -4.08 eV/atom
- Total moment: 0.000 μB per cell

Cell: 4.032 4.032 4.157 Å, 90.00 90.00 90.00°
Atoms (fractional coordinates):
Sc (0.000, 0.000, 0.000)
Zn (0.000, 0.500, 0.500)
Zn (0.500, 0.000, 0.500)
H (0.000, 0.000, 0.500)
Pt (0.500, 0.500, 0.000)


Entry from Alexandria: a relaxed PuPaHgGe crystal (PBE).

- Density of states at the Fermi level: 52.971 states/eV/cell
- Formation enthalpy at 0 K: -0.087 eV per atom
- Total moment: 30.837 μB per cell

Cell: 7.312 7.312 7.312 Å, 90.00 90.00 90.00°
Atoms (fractional coordinates):
Pu (0.000, 0.000, 0.000)
Pu (0.000, 0.500, 0.500)
Pu (0.500, 0.000, 0.500)
Pu (0.500, 0.500, 0.000)
Pa (0.000, 0.000, 0.500)
Pa (0.000, 0.500, 0.000)
Pa (0.500, 0.000, 0.000)
Pa (0.500, 0.500, 0.500)
Hg (0.250, 0.250, 0.250)
Hg (0.250, 0.750, 0.750)
Hg (0.750, 0.250, 0.750)
Hg (0.750, 0.750, 0.250)
Ge (0.250, 0.250, 0.750)
Ge (0.250, 0.750, 0.250)
Ge (0.750, 0.250, 0.250)
Ge (0.750, 0.750, 0.750)


Entry from Alexandria: a relaxed Sm6Co2Si crystal (PBE).

- Formation energy without anion corrections: -215 meV/atom
- Density of states at the Fermi level: 14.628 states/eV/cell
- Total moment: 0.000 μB per cell

Cell: 8.424 8.424 8.424 Å, 112.10 109.45 106.90°
Atoms (fractional coordinates):
Sm (0.045, 0.238, 0.807)
Sm (0.180, 0.279, 0.459)
Sm (0.180, 0.721, 0.901)
Sm (0.327, 0.012, 0.686)
Sm (0.327, 0.641, 0.314)
Sm (0.431, 0.238, 0.193)
Sm (0.569, 0.762, 0.807)
Sm (0.673, 0.359, 0.686)
Sm (0.673, 0.988, 0.314)
Sm (0.820, 0.279, 0.099)
Sm (0.820, 0.721, 0.541)
Sm (0.955, 0.762, 0.193)
Co (0.112, 0.612, 0.500)
Co (0.338, 0.000, 0.338)
Co (0.662, 0.000, 0.662)
Co (0.888, 0.388, 0.500)
Si (0.000, 0.000, 0.000)
Si (0.500, 0.500, 0.000)


Entry from Alexandria: a relaxed Ta2CdGe2 crystal (PBE).

- ΔE to the lowest computed polymorph: 0 meV/atom
- Density of states at the Fermi level: 4.602 states/eV/cell
- Formation enthalpy at 0 K: 0.078 eV per atom
- Total moment: 0.000 μB per cell

Cell: 7.545 7.545 3.263 Å, 90.00 90.00 90.00°
Atoms (fractional coordinates):
Ta (0.130, 0.370, 0.000)
Ta (0.370, 0.870, 0.000)
Ta (0.630, 0.130, 0.000)
Ta (0.870, 0.630, 0.000)
Cd (0.000, 0.000, 0.000)
Cd (0.500, 0.500, 0.000)
Ge (0.163, 0.663, 0.500)
Ge (0.337, 0.163, 0.500)
Ge (0.663, 0.837, 0.500)
Ge (0.837, 0.337, 0.500)


Entry from Alexandria: a relaxed Pr2MgZr crystal (PBE).

- ΔE to the lowest computed polymorph: 285 meV/atom
- Density of states at the Fermi level: 13.996 states/eV/cell
- Formation enthalpy at 0 K: 0.331 eV per atom
- Total moment: 0.001 μB per cell

Cell: 3.307 3.307 37.089 Å, 90.00 90.00 120.00°
Atoms (fractional coordinates):
Pr (0.000, 0.000, 0.086)
Pr (0.000, 0.000, 0.914)
Pr (0.333, 0.667, 0.581)
Pr (0.333, 0.667, 0.753)
Pr (0.667, 0.333, 0.247)
Pr (0.667, 0.333, 0.419)
Mg (0.000, 0.000, 0.500)
Mg (0.333, 0.667, 0.167)
Mg (0.667, 0.333, 0.833)
Zr (0.000, 0.000, 0.000)
Zr (0.333, 0.667, 0.667)
Zr (0.667, 0.333, 0.333)


Entry from Alexandria: a relaxed Sc2TaCo crystal (PBE).

- ΔE to the lowest computed polymorph: 348 meV/atom
- Density of states at the Fermi level: 13.237 states/eV/cell
- Formation enthalpy at 0 K: 0.267 eV per atom
- Total moment: 2.024 μB per cell

Cell: 3.967 3.967 9.134 Å, 90.00 90.00 90.00°
Atoms (fractional coordinates):
Sc (0.000, 0.000, 0.000)
Sc (0.000, 0.500, 0.250)
Sc (0.500, 0.000, 0.750)
Sc (0.500, 0.500, 0.500)
Ta (0.000, 0.500, 0.750)
Ta (0.500, 0.000, 0.250)
Co (0.000, 0.000, 0.500)
Co (0.500, 0.500, 0.000)


Entry from Alexandria: a relaxed PmLuMgRh crystal (PBE).

- Density of states at the Fermi level: 5.807 states/eV/cell
- Formation enthalpy at 0 K: -0.388 eV per atom
- Total moment: 0.000 μB per cell

Cell: 7.168 7.168 7.168 Å, 90.00 90.00 90.00°
Atoms (fractional coordinates):
Pm (0.000, 0.000, 0.000)
Pm (0.000, 0.500, 0.500)
Pm (0.500, 0.000, 0.500)
Pm (0.500, 0.500, 0.000)
Lu (0.000, 0.000, 0.500)
Lu (0.000, 0.500, 0.000)
Lu (0.500, 0.000, 0.000)
Lu (0.500, 0.500, 0.500)
Mg (0.250, 0.250, 0.750)
Mg (0.250, 0.750, 0.250)
Mg (0.750, 0.250, 0.250)
Mg (0.750, 0.750, 0.750)
Rh (0.250, 0.250, 0.250)
Rh (0.250, 0.750, 0.750)
Rh (0.750, 0.250, 0.750)
Rh (0.750, 0.750, 0.250)


Q: What is the formula in the eighth record?
A: Sm6Co2Si


What did the second record say?
Entry from Alexandria: a relaxed GaPtF2 crystal (PBE).

- ΔE to the lowest computed polymorph: 534 meV/atom
- Formation energy without anion corrections: -498 meV/atom
- Density of states at the Fermi level: 28.960 states/eV/cell
- Total moment: 2.035 μB per cell

Cell: 5.996 5.996 5.996 Å, 90.00 90.00 90.00°
Atoms (fractional coordinates):
Ga (0.000, 0.000, 0.000)
Ga (0.000, 0.500, 0.500)
Ga (0.500, 0.000, 0.500)
Ga (0.500, 0.500, 0.000)
Pt (0.000, 0.000, 0.500)
Pt (0.000, 0.500, 0.000)
Pt (0.500, 0.000, 0.000)
Pt (0.500, 0.500, 0.500)
F (0.250, 0.250, 0.250)
F (0.250, 0.250, 0.750)
F (0.250, 0.750, 0.250)
F (0.250, 0.750, 0.750)
F (0.750, 0.250, 0.250)
F (0.750, 0.250, 0.750)
F (0.750, 0.750, 0.250)
F (0.750, 0.750, 0.750)